[1]
Ag2PPt after structural relaxation. Source: the Alexandria database, functional PBE-GGA.

a b c (Å): 3.029 4.540 4.800
angles (deg): 90.00 90.00 90.00
Space group Pmmm (No. 47)
One atom of each set of equivalent atoms:
Ag 0.000 0.000 0.000 x1
Ag 0.500 0.500 0.000 x1
P 0.000 0.500 0.500 x1
Pt 0.500 0.000 0.500 x1

Summary:
DFT formation energy: 193 meV/atom
E_tot: -4.0952 eV/atom

=====

[2]
CsTa2CdPb after structural relaxation. Source: the Alexandria database, functional PBE-GGA.

a b c (Å): 5.296 5.296 6.127
angles (deg): 90.00 90.00 90.00
Space group P4/mmm (No. 123)
One atom of each set of equivalent atoms:
Cs 0.000 0.000 0.000 x1
Ta 0.000 0.500 0.500 x2
Cd 0.000 0.000 0.500 x1
Pb 0.500 0.500 0.000 x1

Summary:
DFT formation energy: 2022 meV/atom
E_tot: -3.8141 eV/atom

=====

[3]
PuAlTcGe2 after structural relaxation. Source: the Alexandria database, functional PBE-GGA.

a b c (Å): 3.959 3.959 11.614
angles (deg): 90.00 90.00 90.00
Space group I-4m2 (No. 119)
One atom of each set of equivalent atoms:
Pu 0.000 0.000 0.000 x2
Al 0.000 0.500 0.250 x2
Tc 0.000 0.500 0.750 x2
Ge 0.000 0.000 0.390 x4

Summary:
DFT formation energy: -284 meV/atom
E_tot: -7.8188 eV/atom

=====

[4]
CsPtI5 after structural relaxation. Source: the Alexandria database, functional PBE-GGA.

a b c (Å): 8.886 8.904 8.486
angles (deg): 90.00 90.00 90.00
Space group Imm2 (No. 44)
One atom of each set of equivalent atoms:
Cs 0.000 0.000 0.000 x2
Pt 0.000 0.500 0.092 x2
I 0.000 0.306 0.333 x4
I 0.000 0.500 0.782 x2
I 0.200 0.000 0.584 x4

Summary:
E_tot: -2.5285 eV/atom
uncorrected formation energy: -436 meV/atom

=====

[5]
AcUCSe2 after structural relaxation. Source: the Alexandria database, functional PBE-GGA.

a b c (Å): 4.037 4.037 15.703
angles (deg): 90.00 90.00 90.00
Space group P4/nmm (No. 129, origin choice 2)
One atom of each set of equivalent atoms:
Ac 0.250 0.250 0.140 x2
U 0.250 0.250 0.571 x2
C 0.250 0.750 0.500 x2
Se 0.250 0.250 0.331 x2
Se 0.250 0.250 0.920 x2

Summary:
E_tot: -7.3510 eV/atom
uncorrected formation energy: -1033 meV/atom

=====

[6]
SrScFe2 after structural relaxation. Source: the Alexandria database, functional PBE-GGA.

a b c (Å): 4.830 4.830 17.567
angles (deg): 90.00 90.00 90.00
Space group I4_1/amd (No. 141, origin choice 2)
One atom of each set of equivalent atoms:
Sr 0.000 0.250 0.375 x4
Sc 0.000 0.250 0.875 x4
Fe 0.000 0.000 0.000 x8

Summary:
DFT formation energy: 701 meV/atom
E_tot: -5.5340 eV/atom